1.
Here is crystalline Ba2LaTc2 at its relaxed geometry from Alexandria. Energies are from GGA-PBE.

The value obtained for the energy above the most stable polymorph in this dataset is 0.0 kJ per mole of atoms. For the density, the calculation gives 6.9 g/cm³. The space group is No. 127. As for the magnetization: 2.89 μB/f.u. The value obtained for the volume is 292.7 Å³/cell. The calculation puts the energy relative to the elements at 1.117 eV per atom.

a b c (Å): 9.3951 9.3951 3.3164
angles (deg): 90.00 90.00 90.00
Closest atoms and distances in Å follow each position.
Element x y z (fractional)
Ba (0.1319, 0.3681, 0.0000)  6 Tc 3.07-3.34, 2 Ba 3.32
Ba (0.3681, 0.8681, 0.0000)  6 Tc 3.07-3.34, 2 Ba 3.32
Ba (0.6319, 0.1319, 0.0000)  6 Tc 3.07-3.34, 2 Ba 3.32
Ba (0.8681, 0.6319, 0.0000)  6 Tc 3.07-3.34, 2 Ba 3.32
La (0.0000, 0.0000, 0.0000)  2 La 3.32, 4 Ba 3.67
La (0.5000, 0.5000, 0.0000)  2 La 3.32, 4 Ba 3.67
Tc (0.1736, 0.6736, 0.5000)  6 Ba 3.07-3.34, 2 Tc 3.32
Tc (0.3264, 0.1736, 0.5000)  6 Ba 3.07-3.34, 2 Tc 3.32
Tc (0.6736, 0.8264, 0.5000)  6 Ba 3.07-3.34, 2 Tc 3.32
Tc (0.8264, 0.3264, 0.5000)  6 Ba 3.07-3.34, 2 Tc 3.32


2.
Here is crystalline Ba2LaTc2 at its relaxed geometry from Alexandria. Energies are from GGA-PBE.

The value obtained for the energy above the most stable polymorph in this dataset is 13.7 kJ per mole of atoms. For the density, the calculation gives 6.5 g/cm³. The space group is No. 139. As for the magnetization: 2.55 μB/f.u. The value obtained for the volume is 155.6 Å³/cell. The calculation puts the energy relative to the elements at 1.259 eV per atom.

a b c (Å): 6.7170 6.7170 6.7170
angles (deg): 133.73 133.73 67.51
Closest atoms and distances in Å follow each position.
Element x y z (fractional)
Ba (0.1441, 0.1441, 0.0000)  4 Tc 2.89, 1 Ba 3.22
Ba (0.8559, 0.8559, 0.0000)  4 Tc 2.89, 1 Ba 3.22
La (0.5000, 0.5000, 0.0000)  8 Tc 3.84, 10 Ba 3.98-4.06
Tc (0.2500, 0.7500, 0.5000)  4 Ba 2.89
Tc (0.7500, 0.2500, 0.5000)  4 Ba 2.89